(1)
# PBE-GGA Ca5Hg4Bi, relaxed
# D(E_F)	7.50	states/eV/cell
# V	280.4	Å³ per cell
# formation enthalpy at 0 K	-0.58	eV per atom
# DFT total energy	-2.09	eV per atom
# crystal system	tetragonal
data_Ca5Hg4Bi
_cell_length_a 3.8528
_cell_length_b 3.8528
_cell_length_c 18.8926
_cell_angle_alpha 90.00
_cell_angle_beta 90.00
_cell_angle_gamma 90.00
_space_group_name_H-M_alt 'P 4/m m m'
_space_group_IT_number 123
_space_group_name_Hall '-P 4 2'
loop_
_atom_site_label
_atom_site_type_symbol
_atom_site_fract_x
_atom_site_fract_y
_atom_site_fract_z
_atom_site_occupancy
Ca1 Ca 0.0000 0.0000 0.0000 1
Ca2 Ca 0.0000 0.0000 0.1972 1
Ca3 Ca 0.0000 0.0000 0.3958 1
Hg1 Hg 0.5000 0.5000 0.0977 1
Hg2 Hg 0.5000 0.5000 0.2947 1
Bi1 Bi 0.5000 0.5000 0.5000 1

***

(2)
# PBE-GGA TaCrNi2, relaxed
# D(E_F)	8.11	states/eV/cell
# V	103.0	Å³ per cell
# formation enthalpy at 0 K	-0.01	eV per atom
# DFT total energy	-8.27	eV per atom
# crystal system	monoclinic
data_TaCrNi2
_cell_length_a 5.1803
_cell_length_b 7.5408
_cell_length_c 2.6363
_cell_angle_alpha 90.00
_cell_angle_beta 90.23
_cell_angle_gamma 90.00
_space_group_name_H-M_alt 'C 1 2/m 1'
_space_group_IT_number 12
loop_
_space_group_symop_operation_xyz
'x,y,z'
'-x,-y,-z'
'-x,y,-z'
'x,-y,z'
'x+1/2,y+1/2,z'
'-x+1/2,-y+1/2,-z'
'-x+1/2,y+1/2,-z'
'x+1/2,-y+1/2,z'
loop_
_atom_site_label
_atom_site_type_symbol
_atom_site_fract_x
_atom_site_fract_y
_atom_site_fract_z
_atom_site_occupancy
Ta1 Ta 0.0000 0.0000 0.0000 1
Cr1 Cr 0.0000 0.5000 0.0000 1
Ni1 Ni 0.2500 0.2500 0.5000 1

***

(3)
# PBE-GGA SmCdHgBi, relaxed
# D(E_F)	13.45	states/eV/cell
# V	441.8	Å³ per cell
# formation enthalpy at 0 K	-0.28	eV per atom
# DFT total energy	-2.73	eV per atom
# crystal system	cubic
data_SmCdHgBi
_cell_length_a 7.6165
_cell_length_b 7.6165
_cell_length_c 7.6165
_cell_angle_alpha 90.00
_cell_angle_beta 90.00
_cell_angle_gamma 90.00
_space_group_name_H-M_alt 'F -4 3 m'
_space_group_IT_number 216
_space_group_name_Hall 'F -4 2 3'
loop_
_atom_site_label
_atom_site_type_symbol
_atom_site_fract_x
_atom_site_fract_y
_atom_site_fract_z
_atom_site_occupancy
Sm1 Sm 0.0000 0.0000 0.0000 1
Cd1 Cd 0.0000 0.0000 0.5000 1
Hg1 Hg 0.2500 0.2500 0.7500 1
Bi1 Bi 0.2500 0.2500 0.2500 1

***

Which of these has the highest formation enthalpy at 0 K? TaCrNi2

***

Look up the DFT total energy of the second one. -8.27 eV per atom

***

Number 2 is which compound? TaCrNi2